# Rb2NbCoF6

Crystalline Rb2NbCoF6 at its relaxed geometry (PBE with a Hubbard U, Alexandria via LeMat-Bulk).

Lattice parameters (Å, degrees): 6.1479 6.1479 8.7107 90.00 90.00 90.00
Space group I4/mmm (No. 139)
Symmetry-distinct sites (fractional):
Rb 0.0000 0.5000 0.2500 x4
Nb 0.0000 0.0000 0.0000 x2
Co 0.0000 0.0000 0.5000 x2
F 0.0000 0.0000 0.2433 x4
F 0.2447 0.2447 0.0000 x8

Summary:
D(E_F), states/eV/cell: 27.7
Final energy, eV/atom: -5.1923